This record from Alexandria describes a PBEsol-optimized structure of TePIr2. The functional is meta-GGA SCAN.

* final energy: -47.14 eV/atom
* relative energy among the computed polymorphs: 0.417 eV/atom
* formation energy from raw total energies: 0.32 eV per atom

a = 2.957 Å, b = 2.957 Å, c = 7.278 Å
α = 90.00°, β = 90.00°, γ = 90.00°
Space group P4/mmm (No. 123)
Unique sites:
Te: 0.000 0.000 0.000 (multiplicity 1)
P: 0.000 0.000 0.500 (multiplicity 1)
Ir: 0.500 0.500 0.309 (multiplicity 2)